The following is a DFT calculation (GGA-PBE) of CaPr2GeN4 after structural relaxation.

```
16
Lattice="1.758 -6.125 0.000 1.758 6.125 0.000 0.000 0.000 12.288" Properties=species:S:1:pos:R:3 pbc="T T T"
Ca 1.758 4.851 9.216
Ca 1.758 -4.851 3.072
Pr 1.758 1.597 6.632
Pr 1.758 1.597 11.800
Pr 1.758 -1.597 0.488
Pr 1.758 -1.597 5.656
Ge 1.758 3.955 3.072
Ge 1.758 -3.955 9.216
N 0.000 0.000 0.000
N 0.000 0.000 6.144
N 1.758 2.853 1.590
N 1.758 2.853 4.555
N 1.758 1.029 9.216
N 1.758 -1.029 3.072
N 1.758 -2.853 7.734
N 1.758 -2.853 10.699
```

## Properties
formation energy (no corrections): -0.79 eV/atom
space group: No. 63
size of the total moment: 0.00 μB per formula unit
calculated total energy: -0.25646 Ha/atom


The following is a DFT calculation (GGA-PBE) of ErTmIn2 after structural relaxation.

```
4
Lattice="5.293 0.000 0.000 0.000 5.293 0.000 0.000 0.000 3.688" Properties=species:S:1:pos:R:3 pbc="T T T"
Er 0.000 0.000 0.000
Tm 2.647 2.647 0.000
In 0.000 2.647 1.844
In 2.647 0.000 1.844
```

## Properties
ΔH_f (0 K): -167 kJ/mol of formula units
space group: No. 123
size of the total moment: 0.00 μB per formula unit
calculated total energy: -0.14918 Ha/atom


The following is a DFT calculation (GGA-PBE) of Cd2BiSb2 after structural relaxation.

```
10
Lattice="8.317 0.000 0.000 0.000 8.317 0.000 0.000 0.000 3.897" Properties=species:S:1:pos:R:3 pbc="T T T"
Cd 1.039 3.120 0.000
Cd 3.120 7.278 0.000
Cd 5.198 1.039 0.000
Cd 7.278 5.198 0.000
Bi 0.000 0.000 0.000
Bi 4.159 4.159 0.000
Sb 1.467 5.626 1.948
Sb 2.692 1.467 1.948
Sb 5.626 6.851 1.948
Sb 6.851 2.692 1.948
```

## Properties
formation energy (no corrections): 0.17 eV/atom
space group: No. 127
size of the total moment: 0.00 μB per formula unit
calculated total energy: -0.09635 Ha/atom
energy above the most stable polymorph in this dataset: 61.8 kJ/mol of formula units


The following is a DFT calculation (GGA-PBE) of YSiCl4 after structural relaxation.

```
6
Lattice="0.000 4.106 4.106 4.106 0.000 4.106 4.106 4.106 0.000" Properties=species:S:1:pos:R:3 pbc="T T T"
Y 0.000 0.000 0.000
Si 2.053 2.053 2.053
Cl 5.136 3.076 3.076
Cl 3.076 5.136 3.076
Cl 3.076 3.076 5.136
Cl 5.136 5.136 5.136
```

## Properties
formation energy (no corrections): 0.10 eV/atom
space group: No. 216
size of the total moment: 0.84 μB per formula unit
calculated total energy: -0.11444 Ha/atom


The following is a DFT calculation (GGA-PBE) of Nb2CdRu after structural relaxation.

```
4
Lattice="0.000 3.282 3.282 3.282 0.000 3.282 3.282 3.282 0.000" Properties=species:S:1:pos:R:3 pbc="T T T"
Nb 1.641 1.641 1.641
Nb 4.923 4.923 4.923
Cd 0.000 0.000 0.000
Ru 3.282 3.282 3.282
```

## Properties
ΔH_f (0 K): 114 kJ/mol of formula units
space group: No. 225
size of the total moment: 0.00 μB per formula unit
calculated total energy: -0.26776 Ha/atom
energy above the most stable polymorph in this dataset: 0.0 kJ/mol of formula units


The following is a DFT calculation (GGA-PBE) of Cd9InPd2 after structural relaxation.

```
24
Lattice="-6.010 6.010 3.702 6.010 -6.010 3.702 6.010 6.010 -3.702" Properties=species:S:1:pos:R:3 pbc="T T T"
Cd 3.655 1.552 -0.527
Cd 8.365 1.552 -0.527
Cd 4.557 6.660 -2.378
Cd 1.453 0.650 1.324
Cd 3.655 4.458 -0.527
Cd 2.355 -1.552 3.175
Cd 6.010 3.005 0.925
Cd 4.557 0.650 2.378
Cd 7.463 0.650 2.378
Cd -1.453 5.360 1.324
Cd 1.453 5.360 1.324
Cd 0.000 3.005 2.776
Cd 3.655 7.562 0.527
Cd 2.355 1.552 4.229
Cd 4.557 5.360 2.378
Cd 1.453 -0.650 6.080
Cd -2.355 4.458 4.229
Cd 2.355 4.458 4.229
In 6.010 -3.005 2.776
In 0.000 9.015 0.925
Pd 6.010 0.000 0.000
Pd -3.005 3.005 1.851
Pd 0.000 0.000 3.702
Pd 3.005 3.005 1.851
```

## Properties
ΔH_f (0 K): -117 kJ/mol of formula units
space group: No. 141
size of the total moment: 0.00 μB per formula unit
calculated total energy: -0.06912 Ha/atom


The following is a DFT calculation (GGA-PBE) of TaCSN2 after structural relaxation.

```
5
Lattice="3.918 0.000 0.000 0.000 3.918 0.000 0.000 0.000 5.217" Properties=species:S:1:pos:R:3 pbc="T T T"
Ta 0.000 0.000 0.000
C 1.959 1.959 2.609
S 0.000 0.000 2.609
N 0.000 1.959 0.000
N 1.959 0.000 0.000
```

## Properties
formation energy (no corrections): 1.57 eV/atom
space group: No. 123
size of the total moment: 1.42 μB per formula unit
calculated total energy: -0.24989 Ha/atom
energy above the most stable polymorph in this dataset: 20.5 kJ/mol of formula units


The following is a DFT calculation (GGA-PBE) of ScBeCd2 after structural relaxation.

```
4
Lattice="2.888 -4.998 0.000 2.888 4.998 0.000 -1.210 0.000 2.686" Properties=species:S:1:pos:R:3 pbc="T T T"
Sc 0.000 0.000 0.000
Be 2.888 0.000 0.000
Cd 0.839 2.499 1.343
Cd 0.839 -2.499 1.343
```

## Properties
ΔH_f (0 K): 91 kJ/mol of formula units
space group: No. 12
size of the total moment: 0.31 μB per formula unit
calculated total energy: -0.10060 Ha/atom
energy above the most stable polymorph in this dataset: 86.3 kJ/mol of formula units


The following is a DFT calculation (GGA-PBE) of La5GaSe4 after structural relaxation.

```
10
Lattice="-4.872 4.872 3.066 4.872 -4.872 3.066 4.872 4.872 -3.066" Properties=species:S:1:pos:R:3 pbc="T T T"
La 0.000 0.000 0.000
La 5.841 1.955 0.000
La 1.955 3.902 0.000
La 2.916 0.969 3.066
La -0.969 2.916 3.066
Ga 0.000 0.000 3.066
Se 2.932 0.976 0.000
Se 3.895 -1.940 3.066
Se 0.976 6.811 0.000
Se 1.940 3.895 3.066
```

## Properties
formation energy (no corrections): -1.73 eV/atom
space group: No. 87
size of the total moment: 0.00 μB per formula unit
calculated total energy: -0.21636 Ha/atom


The following is a DFT calculation (GGA-PBE) of CaMg5Ag6 after structural relaxation.

```
12
Lattice="-2.438 3.360 7.224 2.438 -3.360 7.224 2.438 3.360 -7.224" Properties=species:S:1:pos:R:3 pbc="T T T"
Ca 0.000 0.000 0.000
Mg 2.438 0.000 2.333
Mg 0.000 0.000 4.803
Mg 0.000 3.360 0.000
Mg 0.000 0.000 9.646
Mg 0.000 3.360 4.891
Ag 2.438 -1.588 4.701
Ag 2.438 1.820 0.000
Ag 0.000 1.772 2.524
Ag 2.438 1.588 4.701
Ag 0.000 1.540 7.224
Ag 0.000 4.947 2.524
```

## Properties
ΔH_f (0 K): -264 kJ/mol of formula units
space group: No. 71
size of the total moment: 0.00 μB per formula unit
calculated total energy: -0.09131 Ha/atom


The following is a DFT calculation (GGA-PBE) of TiCr2Br after structural relaxation.

```
4
Lattice="0.000 3.064 3.064 3.064 0.000 3.064 3.064 3.064 0.000" Properties=species:S:1:pos:R:3 pbc="T T T"
Ti 0.000 0.000 0.000
Cr 1.532 1.532 1.532
Cr 4.596 4.596 4.596
Br 3.064 3.064 3.064
```

## Properties
formation energy (no corrections): 0.84 eV/atom
space group: No. 225
size of the total moment: 2.14 μB per formula unit
calculated total energy: -0.23368 Ha/atom
energy above the most stable polymorph in this dataset: 3.9 kJ/mol of formula units


The following is a DFT calculation (GGA-PBE) of SnGeAsHIr after structural relaxation.

```
5
Lattice="3.804 -2.192 0.000 3.804 2.192 0.000 -0.265 0.000 5.296" Properties=species:S:1:pos:R:3 pbc="T T T"
Sn 0.000 0.000 0.000
Ge 5.287 0.000 2.020
As 2.715 0.000 3.540
H 5.453 0.000 0.287
Ir 0.279 0.000 2.641
```

## Properties
space group: No. 8
size of the total moment: 0.00 μB per formula unit
calculated total energy: -0.18639 Ha/atom
energy above the most stable polymorph in this dataset: 51.8 kJ/mol of formula units


The following is a DFT calculation (GGA-PBE) of GaSb2TePb after structural relaxation.

```
5
Lattice="5.698 0.000 0.000 0.000 5.698 0.000 0.000 0.000 6.244" Properties=species:S:1:pos:R:3 pbc="T T T"
Ga 0.000 0.000 0.000
Sb 0.000 2.849 0.000
Sb 2.849 0.000 0.000
Te 0.000 0.000 3.122
Pb 2.849 2.849 3.122
```

## Properties
formation energy (no corrections): 0.55 eV/atom
space group: No. 123
size of the total moment: 0.03 μB per formula unit
calculated total energy: -0.11295 Ha/atom
energy above the most stable polymorph in this dataset: 0.0 kJ/mol of formula units


The following is a DFT calculation (GGA-PBE) of LiHg2PRu after structural relaxation.

```
5
Lattice="5.328 0.000 0.000 0.000 5.328 0.000 0.000 0.000 4.383" Properties=species:S:1:pos:R:3 pbc="T T T"
Li 0.000 0.000 0.000
Hg 0.000 2.664 2.192
Hg 2.664 0.000 2.192
P 2.664 2.664 0.000
Ru 2.664 2.664 2.192
```

## Properties
ΔH_f (0 K): 38 kJ/mol of formula units
space group: No. 123
size of the total moment: 0.00 μB per formula unit
calculated total energy: -0.12357 Ha/atom
energy above the most stable polymorph in this dataset: 0.0 kJ/mol of formula units


The following is a DFT calculation (GGA-PBE) of Mg3CdPb6 after structural relaxation.

```
20
Lattice="10.335 0.000 0.000 0.000 4.950 0.000 -1.152 0.000 10.873" Properties=species:S:1:pos:R:3 pbc="T T T"
Mg 0.058 1.237 4.279
Mg 1.318 3.712 2.076
Mg 1.419 1.237 10.767
Mg 7.763 3.712 0.106
Mg 7.864 1.237 8.797
Mg 9.124 3.712 6.594
Cd 4.032 1.237 6.406
Cd 5.150 3.712 4.467
Pb -0.589 3.712 9.803
Pb 0.549 1.237 7.498
Pb 1.811 3.712 5.292
Pb 3.151 1.237 3.207
Pb 2.712 3.712 8.584
Pb 4.424 3.712 1.091
Pb 4.758 1.237 9.782
Pb 6.470 1.237 2.289
Pb 6.031 3.712 7.666
Pb 7.371 1.237 5.581
Pb 8.633 3.712 3.375
Pb 9.772 1.237 1.070
```

## Properties
ΔH_f (0 K): -14 kJ/mol of formula units
space group: No. 11
size of the total moment: 0.00 μB per formula unit
calculated total energy: -0.10325 Ha/atom


The following is a DFT calculation (GGA-PBE) of LaTb7Tm5 after structural relaxation.

```
13
Lattice="-3.293 5.653 5.779 3.293 -5.653 5.779 3.293 5.653 -5.779" Properties=species:S:1:pos:R:3 pbc="T T T"
La 0.000 0.000 0.000
Tb 3.293 1.883 0.817
Tb 0.000 0.000 3.314
Tb 0.000 3.426 0.710
Tb 0.000 0.000 7.013
Tb 0.000 7.880 0.710
Tb 0.000 5.653 2.999
Tb 0.000 3.770 6.596
Tm 1.594 2.617 -2.152
Tm 4.992 2.617 -2.152
Tm 3.293 0.000 3.883
Tm -1.699 3.035 3.627
Tm 1.699 3.035 3.627
```

## Properties
ΔH_f (0 K): 302 kJ/mol of formula units
space group: No. 44
size of the total moment: 0.00 μB per formula unit
calculated total energy: -0.15991 Ha/atom


The following is a DFT calculation (GGA-PBE) of LiDyBr4 after structural relaxation.

```
12
Lattice="4.064 -8.832 0.000 4.064 8.832 0.000 -4.037 0.000 5.671" Properties=species:S:1:pos:R:3 pbc="T T T"
Li 1.036 7.280 4.253
Li 3.055 -7.280 1.418
Dy 3.055 1.359 1.418
Dy 1.036 -1.359 4.253
Br 1.003 3.088 1.385
Br -0.991 0.798 4.296
Br 1.028 -0.798 1.461
Br -1.016 -3.088 4.220
Br 5.107 3.088 1.451
Br 3.064 0.798 4.211
Br 5.082 -0.798 1.375
Br 3.089 -3.088 4.286
```

## Properties
formation energy (no corrections): -1.72 eV/atom
space group: No. 15
size of the total moment: 0.00 μB per formula unit
calculated total energy: -0.14415 Ha/atom
energy above the most stable polymorph in this dataset: 15.0 kJ/mol of formula units


The following is a DFT calculation (GGA-PBE) of NaGa2F2 after structural relaxation.

```
10
Lattice="8.427 0.000 0.000 0.000 8.427 0.000 0.000 0.000 3.242" Properties=species:S:1:pos:R:3 pbc="T T T"
Na 0.000 0.000 0.000
Na 4.214 4.214 0.000
Ga 1.187 3.026 0.000
Ga 3.026 7.240 0.000
Ga 5.401 1.187 0.000
Ga 7.240 5.401 0.000
F 2.014 6.227 1.621
F 2.200 2.014 1.621
F 6.227 6.413 1.621
F 6.413 2.200 1.621
```

## Properties
formation energy (no corrections): -1.12 eV/atom
space group: No. 127
size of the total moment: 0.00 μB per formula unit
calculated total energy: -0.12296 Ha/atom
energy above the most stable polymorph in this dataset: 56.3 kJ/mol of formula units


The following is a DFT calculation (GGA-PBE) of AsPRu2 after structural relaxation.

```
8
Lattice="-2.673 2.673 5.328 2.673 -2.673 5.328 2.673 2.673 -5.328" Properties=species:S:1:pos:R:3 pbc="T T T"
As 0.000 0.000 0.000
As 0.000 2.673 2.664
P 2.673 0.000 2.664
P 0.000 0.000 5.328
Ru 1.337 -1.214 3.996
Ru 1.459 1.337 1.332
Ru 1.337 3.887 -1.332
Ru 1.214 1.337 6.660
```

## Properties
ΔH_f (0 K): -38 kJ/mol of formula units
space group: No. 122
size of the total moment: 0.00 μB per formula unit
calculated total energy: -0.26643 Ha/atom
energy above the most stable polymorph in this dataset: 74.4 kJ/mol of formula units


The following is a DFT calculation (GGA-PBE) of Ca4CoRh after structural relaxation.

```
6
Lattice="0.000 4.307 4.307 4.307 0.000 4.307 4.307 4.307 0.000" Properties=species:S:1:pos:R:3 pbc="T T T"
Ca 1.080 1.080 1.080
Ca 3.227 3.227 1.080
Ca 3.227 1.080 3.227
Ca 1.080 3.227 3.227
Co 6.461 6.461 6.461
Rh 4.307 4.307 4.307
```

## Properties
ΔH_f (0 K): 558 kJ/mol of formula units
space group: No. 216
size of the total moment: 0.65 μB per formula unit
calculated total energy: -0.10218 Ha/atom


The following is a DFT calculation (GGA-PBE) of PrGa4Ag after structural relaxation.

```
6
Lattice="-2.136 3.479 4.172 2.136 -3.479 4.172 2.136 3.479 -4.172" Properties=species:S:1:pos:R:3 pbc="T T T"
Pr 0.000 0.000 0.000
Ga 2.136 2.092 -1.337
Ga 2.136 2.092 1.337
Ga 0.000 1.387 2.835
Ga 0.000 1.387 5.509
Ag 0.000 3.479 0.000
```

## Properties
ΔH_f (0 K): -184 kJ/mol of formula units
space group: No. 71
size of the total moment: 0.00 μB per formula unit
calculated total energy: -0.13257 Ha/atom
energy above the most stable polymorph in this dataset: 0.0 kJ/mol of formula units


The following is a DFT calculation (GGA-PBE) of CrAs2Au2 after structural relaxation.

```
10
Lattice="6.209 0.000 0.000 0.000 6.209 0.000 0.000 0.000 4.752" Properties=species:S:1:pos:R:3 pbc="T T T"
Cr 0.000 0.000 0.000
Cr 3.105 3.105 0.000
As 0.890 2.215 0.000
As 2.215 5.320 0.000
As 3.995 0.890 0.000
As 5.320 3.995 0.000
Au 1.523 1.582 2.376
Au 1.582 4.686 2.376
Au 4.628 1.523 2.376
Au 4.686 4.628 2.376
```

## Properties
ΔH_f (0 K): 112 kJ/mol of formula units
space group: No. 127
size of the total moment: 0.00 μB per formula unit
calculated total energy: -0.17873 Ha/atom


The following is a DFT calculation (GGA-PBE) of Ti2SnBiB after structural relaxation.

```
5
Lattice="4.639 0.000 0.000 0.000 4.639 0.000 0.000 0.000 4.396" Properties=species:S:1:pos:R:3 pbc="T T T"
Ti 0.000 2.320 0.000
Ti 2.320 0.000 0.000
Sn 0.000 0.000 2.198
Bi 2.320 2.320 2.198
B 0.000 0.000 0.000
```

## Properties
ΔH_f (0 K): 93 kJ/mol of formula units
space group: No. 123
size of the total moment: 1.64 μB per formula unit
calculated total energy: -0.21601 Ha/atom